# Ba2Mg3MnF12 (PBE+U, optimized geometry)
data_Ba2Mg3MnF12
_cell_length_a 7.2455
_cell_length_b 7.2455
_cell_length_c 17.0724
_cell_angle_alpha 90.00
_cell_angle_beta 90.00
_cell_angle_gamma 120.00
_space_group_name_H-M_alt 'R -3 m'
_space_group_IT_number 166
_space_group_name_Hall '-R 3 2"'
loop_
_atom_site_label
_atom_site_type_symbol
_atom_site_fract_x
_atom_site_fract_y
_atom_site_fract_z
_atom_site_occupancy
Ba1 Ba 0.0000 0.0000 0.1140 1
Mg1 Mg 0.0000 0.5000 0.0000 1
Mn1 Mn 0.0000 0.0000 0.5000 1
F1 F 0.0122 0.5061 0.8799 1
F2 F 0.0625 0.5313 0.3208 1
# - Fermi-level density of states: 0.00 states/eV/cell
# - Total magnetic moment: 15.00 μB per cell
# - Calculated total energy: -5.55 eV/atom
# - V: 776 Å³ per cell